# LaSiPd6Au PBE-GGA relaxed
# **Spin magnetization**: 0.00 μB per formula unit
# **VASP energy**: -47.76 eV/f.u.
data_LaSiPd6Au
_chemical_formula_sum 'La4 Si4 Pd24 Au4'
_cell_length_a 5.7164
_cell_length_b 9.4592
_cell_length_c 12.6434
_cell_angle_alpha 90.00
_cell_angle_beta 90.00
_cell_angle_gamma 90.00
_space_group_name_H-M_alt 'I m m a'
_space_group_IT_number 74
_space_group_name_Hall '-I 2b 2'
loop_
_atom_site_label
_atom_site_type_symbol
_atom_site_fract_x
_atom_site_fract_y
_atom_site_fract_z
La1 La 0.0000 0.2500 0.1662
Si1 Si 0.0000 0.0000 0.5000
Pd1 Pd 0.0000 0.2500 0.4378
Pd2 Pd 0.0000 0.2500 0.9455
Pd3 Pd 0.2436 0.0065 0.8617
Au1 Au 0.2500 0.2500 0.7500